## w
InGaBr3 | PBE | relaxed

a b c (Å): 7.723 8.810 10.813
angles (deg): 90.00 93.91 90.00
Atoms (fractional coordinates):
Ga (0.933, 0.904, 0.562)
Ga (0.067, 0.096, 0.438)
Ga (0.567, 0.404, 0.938)
Ga (0.433, 0.596, 0.062)
Br (0.874, 0.992, 0.767)
Br (0.126, 0.008, 0.233)
Br (0.882, 0.318, 0.417)
Br (0.157, 0.686, 0.969)
Br (0.343, 0.186, 0.531)
Br (0.657, 0.814, 0.469)
Br (0.843, 0.314, 0.031)
Br (0.382, 0.182, 0.917)
Br (0.618, 0.818, 0.083)
Br (0.374, 0.508, 0.267)
Br (0.626, 0.492, 0.733)
Br (0.118, 0.682, 0.583)
In (0.026, 0.372, 0.764)
In (0.974, 0.628, 0.236)
In (0.474, 0.872, 0.736)
In (0.526, 0.128, 0.264)

Results
Density = 3.8 Mg/m³
SG = P2_1/c

---

## x
InGaBr3 | PBE | relaxed

a b c (Å): 5.400 5.400 5.400
angles (deg): 90.00 90.00 90.00
Atoms (fractional coordinates):
Br (0.000, 0.000, 0.500)
Br (0.500, 0.000, 0.000)
Br (0.000, 0.500, 0.000)
In (0.500, 0.500, 0.500)
Ga (0.000, 0.000, 0.000)

Results
Density = 4.5 Mg/m³
SG = Pm-3m

---

Relative energies, meV per atom: w 0; x 152.

---

## w
In3GaBr | PBE | relaxed

a b c (Å): 5.911 5.911 5.911
angles (deg): 90.00 90.00 90.00
Atoms (fractional coordinates):
In (0.500, 0.000, 0.000)
In (0.000, 0.000, 0.500)
In (0.000, 0.500, 0.000)
Br (0.000, 0.000, 0.000)
Ga (0.500, 0.500, 0.500)

Results
Density = 4.0 Mg/m³
SG = Pm-3m

---

## x
In3GaBr | PBE | relaxed

a b c (Å): 5.496 5.496 5.496
angles (deg): 90.00 90.00 90.00
Atoms (fractional coordinates):
Ga (0.000, 0.000, 0.000)
In (0.000, 0.000, 0.500)
In (0.000, 0.500, 0.000)
In (0.500, 0.000, 0.000)
Br (0.500, 0.500, 0.500)

Results
Density = 4.9 Mg/m³
SG = Pm-3m

---

Relative energies, meV per atom: w 403; x 0.

---

## w
InGa3Br | PBE | relaxed

a b c (Å): 5.404 5.404 5.404
angles (deg): 90.00 90.00 90.00
Atoms (fractional coordinates):
Ga (0.500, 0.000, 0.000)
Ga (0.000, 0.500, 0.000)
Ga (0.000, 0.000, 0.500)
In (0.000, 0.000, 0.000)
Br (0.500, 0.500, 0.500)

Results
Density = 4.2 Mg/m³
SG = Pm-3m

---

## x
InGa3Br | PBE | relaxed

a b c (Å): 5.555 5.555 5.555
angles (deg): 90.00 90.00 90.00
Atoms (fractional coordinates):
Ga (0.000, 0.500, 0.000)
Ga (0.500, 0.000, 0.000)
Ga (0.000, 0.000, 0.500)
In (0.500, 0.500, 0.500)
Br (0.000, 0.000, 0.000)

Results
Density = 3.9 Mg/m³
SG = Pm-3m

---

Relative energies, meV per atom: w 0; x 187.

---

## w
InGaSe2Br | PBE | relaxed

a b c (Å): 5.024 5.024 5.399
angles (deg): 90.00 90.00 90.00
Atoms (fractional coordinates):
Ga (0.000, 0.000, 0.000)
In (0.500, 0.500, 0.500)
Se (0.000, 0.500, 0.000)
Se (0.500, 0.000, 0.000)
Br (0.000, 0.000, 0.500)

Results
Density = 5.1 Mg/m³
SG = P4/mmm

---

## x
InGaSe2Br | PBE | relaxed

a b c (Å): 5.277 5.277 5.620
angles (deg): 90.00 90.00 90.00
Atoms (fractional coordinates):
Se (0.000, 0.500, 0.000)
Se (0.500, 0.000, 0.000)
Br (0.000, 0.000, 0.500)
Ga (0.500, 0.500, 0.500)
In (0.000, 0.000, 0.000)

Results
Density = 4.5 Mg/m³
SG = P4/mmm

---

Relative energies, meV per atom: w 0; x 122.

---

## w
Ga3IrBr | PBE | relaxed

a b c (Å): 5.307 5.307 5.307
angles (deg): 90.00 90.00 90.00
Atoms (fractional coordinates):
Ga (0.000, 0.000, 0.500)
Ga (0.500, 0.000, 0.000)
Ga (0.000, 0.500, 0.000)
Ir (0.500, 0.500, 0.500)
Br (0.000, 0.000, 0.000)

Results
Density = 5.3 Mg/m³
SG = Pm-3m

---

## x
Ga3IrBr | PBE | relaxed

a b c (Å): 4.885 4.885 4.885
angles (deg): 90.00 90.00 90.00
Atoms (fractional coordinates):
Ir (0.000, 0.000, 0.000)
Ga (0.000, 0.000, 0.500)
Ga (0.000, 0.500, 0.000)
Ga (0.500, 0.000, 0.000)
Br (0.500, 0.500, 0.500)

Results
Density = 6.9 Mg/m³
SG = Pm-3m

---

Relative energies, meV per atom: w 1716; x 0.